The following is a PBE-GGA calculation of Cr3SiRu after structural relaxation, from the Alexandria database.

```
Cr3SiRu
1.0
4.6171 0.0000 0.0000
0.0000 4.6171 0.0000
0.0000 0.0000 4.6171
Si Cr Ru
1 3 1
direct
0.5000 0.5000 0.5000
0.5000 0.0000 0.0000
0.0000 0.5000 0.0000
0.0000 0.0000 0.5000
0.0000 0.0000 0.0000
```

Summary:
Energy   -36.8 eV per cell
Distance to the lowest polymorph of the same formula   5.20 kcal/mol of atoms
Space-group type   Pm-3m, No. 221
ΔE_f (raw)   1.35 eV/atom
Spin magnetization   9.07 Bohr magnetons per cell